VASP calculation (PBE-GGA) on an optimized crystal structure of MnCd7.

Theoretical density: 8.21 g/cm³
Total DFT energy (no corrections): -14.66 eV/f.u.
Formation enthalpy at 0 K: 114 meV/atom
Total magnetic moment: 15.73 Bohr magnetons per cell

Unit cell a=8.798 b=8.798 c=8.798 alpha=90.00 beta=90.00 gamma=90.00
Space group Fm-3m (No. 225)
One atom of each set of equivalent atoms:
Mn  0.000  0.000  0.000
Cd  0.000  0.000  0.500
Cd  0.000  0.250  0.250

VASP calculation (PBE-GGA) on an optimized crystal structure of Mn3Cd.

Theoretical density: 7.22 g/cm³
Total DFT energy (no corrections): -26.30 eV/f.u.
Formation enthalpy at 0 K: 531 meV/atom
Total magnetic moment: 31.17 Bohr magnetons per cell

Unit cell a=8.9516 b=8.9516 c=2.7553 alpha=90.00 beta=90.00 gamma=120.00
Space group R-3m (No. 166, hexagonal axes)
One atom of each set of equivalent atoms:
Mn  0.0000  0.5000  0.0000
Cd  0.0000  0.0000  0.0000

VASP calculation (PBE-GGA) on an optimized crystal structure of Mn5Cd3.

Theoretical density: 7.22 g/cm³
Total DFT energy (no corrections): -44.49 eV/f.u.
Distance to the lowest polymorph of the same formula: 0.127 eV per atom
Formation enthalpy at 0 K: 512 meV/atom
Total magnetic moment: 36.40 Bohr magnetons per cell

Unit cell a=8.0612 b=8.0612 c=5.0035 alpha=90.00 beta=90.00 gamma=120.00
Space group P6_3/mcm (No. 193)
One atom of each set of equivalent atoms:
Mn  0.0000  0.2100  0.2500
Mn  0.3333  0.6667  0.0000
Cd  0.0000  0.3987  0.7500

VASP calculation (PBE-GGA) on an optimized crystal structure of MnCd3.

Theoretical density: 8.19 g/cm³
Total DFT energy (no corrections): -11.20 eV/f.u.
Formation enthalpy at 0 K: 178 meV/atom
Total magnetic moment: 7.90 Bohr magnetons per cell

Unit cell a=4.823 b=6.315 c=5.220 alpha=90.00 beta=90.00 gamma=90.00
Space group Pmmn (No. 59, origin choice 2)
One atom of each set of equivalent atoms:
Mn  0.250  0.250  0.177
Cd  0.250  0.001  0.678
Cd  0.250  0.750  0.163

VASP calculation (PBE-GGA) on an optimized crystal structure of Mn3Cd.

Theoretical density: 7.17 g/cm³
Total DFT energy (no corrections): -26.33 eV/f.u.
Formation enthalpy at 0 K: 523 meV/atom
Total magnetic moment: 20.84 Bohr magnetons per cell

Unit cell a=5.044 b=5.044 c=5.044 alpha=90.00 beta=90.00 gamma=90.00
Space group Pm-3n (No. 223)
One atom of each set of equivalent atoms:
Mn  0.000  0.250  0.500
Cd  0.000  0.000  0.000

VASP calculation (PBE-GGA) on an optimized crystal structure of Mn4Cd5.

Theoretical density: 7.94 g/cm³
Total DFT energy (no corrections): -38.89 eV/f.u.
Formation enthalpy at 0 K: 262 meV/atom
Total magnetic moment: 28.50 Bohr magnetons per cell

Unit cell a=8.804 b=8.804 c=4.220 alpha=90.00 beta=90.00 gamma=90.00
Space group I4/mmm (No. 139)
One atom of each set of equivalent atoms:
Mn  0.000  0.348  0.000
Cd  0.000  0.000  0.000
Cd  0.171  0.171  0.500

VASP calculation (PBE-GGA) on an optimized crystal structure of Mn2Cd3.

Theoretical density: 7.82 g/cm³
Total DFT energy (no corrections): -19.63 eV/f.u.
Formation enthalpy at 0 K: 291 meV/atom
Total magnetic moment: 22.36 Bohr magnetons per cell

Unit cell a=3.0138 b=3.0138 c=36.2050 alpha=90.00 beta=90.00 gamma=120.00
Space group R-3m (No. 166, hexagonal axes)
One atom of each set of equivalent atoms:
Mn  0.0000  0.0000  0.1026
Cd  0.0000  0.0000  0.2951
Cd  0.0000  0.0000  0.5000

VASP calculation (PBE-GGA) on an optimized crystal structure of MnCd6.

Theoretical density: 4.81 g/cm³
Total DFT energy (no corrections): -9.45 eV/f.u.
Formation enthalpy at 0 K: 744 meV/atom
Total magnetic moment: 9.41 Bohr magnetons per cell

Unit cell a=7.955 b=7.955 c=7.955 alpha=90.00 beta=90.00 gamma=90.00
Space group Im-3m (No. 229)
One atom of each set of equivalent atoms:
Mn  0.000  0.000  0.000
Cd  0.000  0.250  0.500

VASP calculation (PBE-GGA) on an optimized crystal structure of Mn4Cd3.

Theoretical density: 7.07 g/cm³
Total DFT energy (no corrections): -35.28 eV/f.u.
Distance to the lowest polymorph of the same formula: 0.389 eV per atom
Formation enthalpy at 0 K: 592 meV/atom
Total magnetic moment: 15.36 Bohr magnetons per cell

Unit cell a=5.4812 b=5.4812 c=5.0259 alpha=90.00 beta=90.00 gamma=120.00
Space group P6/mmm (No. 191)
One atom of each set of equivalent atoms:
Mn  0.0000  0.0000  0.2428
Mn  0.3333  0.6667  0.0000
Cd  0.0000  0.5000  0.5000

VASP calculation (PBE-GGA) on an optimized crystal structure of MnCd4.

Theoretical density: 7.26 g/cm³
Total DFT energy (no corrections): -10.97 eV/f.u.
Formation enthalpy at 0 K: 371 meV/atom
Total magnetic moment: 8.36 Bohr magnetons per cell

Unit cell a=4.011 b=4.011 c=14.348 alpha=90.00 beta=90.00 gamma=90.00
Space group I4/mmm (No. 139)
One atom of each set of equivalent atoms:
Mn  0.000  0.000  0.000
Cd  0.000  0.000  0.405
Cd  0.000  0.500  0.250

VASP calculation (PBE-GGA) on an optimized crystal structure of Mn3Cd.

Theoretical density: 7.33 g/cm³
Total DFT energy (no corrections): -27.05 eV/f.u.
Formation enthalpy at 0 K: 343 meV/atom
Total magnetic moment: 15.01 Bohr magnetons per cell

Unit cell a=6.310 b=6.310 c=6.310 alpha=90.00 beta=90.00 gamma=90.00
Space group Fm-3m (No. 225)
One atom of each set of equivalent atoms:
Mn  0.000  0.000  0.000
Mn  0.250  0.250  0.250
Cd  0.000  0.000  0.500

VASP calculation (PBE-GGA) on an optimized crystal structure of MnCd3.

Theoretical density: 7.73 g/cm³
Total DFT energy (no corrections): -10.78 eV/f.u.
Formation enthalpy at 0 K: 285 meV/atom
Total magnetic moment: 8.24 Bohr magnetons per cell

Unit cell a=5.524 b=5.524 c=5.524 alpha=90.00 beta=90.00 gamma=90.00
Space group Pm-3n (No. 223)
One atom of each set of equivalent atoms:
Mn  0.000  0.000  0.000
Cd  0.000  0.250  0.500

VASP calculation (PBE-GGA) on an optimized crystal structure of MnCd3.

Theoretical density: 8.06 g/cm³
Total DFT energy (no corrections): -11.18 eV/f.u.
Formation enthalpy at 0 K: 185 meV/atom
Total magnetic moment: 3.86 Bohr magnetons per cell

Unit cell a=3.1004 b=3.1004 c=9.7090 alpha=90.00 beta=90.00 gamma=120.00
Space group P-6m2 (No. 187)
One atom of each set of equivalent atoms:
Mn  0.0000  0.0000  0.0000
Cd  0.0000  0.0000  0.5000
Cd  0.6667  0.3333  0.2329

VASP calculation (PBE-GGA) on an optimized crystal structure of Mn3Cd.

Theoretical density: 7.12 g/cm³
Total DFT energy (no corrections): -26.48 eV/f.u.
Formation enthalpy at 0 K: 485 meV/atom
Total magnetic moment: 21.54 Bohr magnetons per cell

Unit cell a=5.696 b=7.921 c=2.867 alpha=90.00 beta=90.00 gamma=90.00
Space group Cmmm (No. 65)
One atom of each set of equivalent atoms:
Mn  0.000  0.000  0.000
Mn  0.250  0.250  0.500
Cd  0.000  0.500  0.000

VASP calculation (PBE-GGA) on an optimized crystal structure of MnCd3.

Theoretical density: 8.05 g/cm³
Total DFT energy (no corrections): -11.11 eV/f.u.
Formation enthalpy at 0 K: 202 meV/atom
Total magnetic moment: 11.60 Bohr magnetons per cell

Unit cell a=3.0732 b=3.0732 c=29.6756 alpha=90.00 beta=90.00 gamma=120.00
Space group R-3m (No. 166, hexagonal axes)
One atom of each set of equivalent atoms:
Mn  0.0000  0.0000  0.0000
Cd  0.0000  0.0000  0.2560
Cd  0.0000  0.0000  0.5000

VASP calculation (PBE-GGA) on an optimized crystal structure of Mn4Cd3.

Theoretical density: 7.94 g/cm³
Total DFT energy (no corrections): -38.00 eV/f.u.
Distance to the lowest polymorph of the same formula: 0.000 eV per atom
Formation enthalpy at 0 K: 204 meV/atom
Total magnetic moment: 0.21 Bohr magnetons per cell

Unit cell a=3.081 b=3.081 c=24.553 alpha=90.00 beta=90.00 gamma=90.00
Space group I4/mmm (No. 139)
One atom of each set of equivalent atoms:
Mn  0.000  0.000  0.078
Mn  0.000  0.000  0.375
Cd  0.000  0.000  0.204
Cd  0.000  0.000  0.500

VASP calculation (PBE-GGA) on an optimized crystal structure of MnCd3.

Theoretical density: 8.21 g/cm³
Total DFT energy (no corrections): -11.12 eV/f.u.
Formation enthalpy at 0 K: 198 meV/atom
Total magnetic moment: 7.16 Bohr magnetons per cell

Unit cell a=6.090 b=8.543 c=3.051 alpha=90.00 beta=90.00 gamma=90.00
Space group Cmmm (No. 65)
One atom of each set of equivalent atoms:
Mn  0.000  0.000  0.000
Cd  0.000  0.500  0.000
Cd  0.250  0.250  0.500

VASP calculation (PBE-GGA) on an optimized crystal structure of MnCd3.

Theoretical density: 8.11 g/cm³
Total DFT energy (no corrections): -11.15 eV/f.u.
Formation enthalpy at 0 K: 192 meV/atom
Total magnetic moment: 7.91 Bohr magnetons per cell

Unit cell a=3.041 b=9.913 c=5.324 alpha=90.00 beta=90.00 gamma=90.00
Space group Imm2 (No. 44)
One atom of each set of equivalent atoms:
Mn  0.000  0.000  0.000
Cd  0.000  0.261  0.657
Cd  0.000  0.500  0.011

VASP calculation (PBE-GGA) on an optimized crystal structure of MnCd3.

Theoretical density: 8.30 g/cm³
Total DFT energy (no corrections): -11.09 eV/f.u.
Formation enthalpy at 0 K: 205 meV/atom
Total magnetic moment: 14.83 Bohr magnetons per cell

Unit cell a=6.797 b=6.797 c=6.797 alpha=90.00 beta=90.00 gamma=90.00
Space group Fm-3m (No. 225)
One atom of each set of equivalent atoms:
Mn  0.000  0.000  0.000
Cd  0.000  0.000  0.500
Cd  0.250  0.250  0.250

VASP calculation (PBE-GGA) on an optimized crystal structure of Mn2CdMo2.

Theoretical density: 9.21 g/cm³
Total DFT energy (no corrections): -39.30 eV/f.u.
Formation enthalpy at 0 K: 323 meV/atom
Total magnetic moment: 2.09 Bohr magnetons per cell

Unit cell a=7.230 b=7.230 c=2.857 alpha=90.00 beta=90.00 gamma=90.00
Space group P4/mbm (No. 127)
One atom of each set of equivalent atoms:
Mn  0.135  0.365  0.000
Cd  0.000  0.000  0.000
Mo  0.158  0.658  0.500

VASP calculation (PBE-GGA) on an optimized crystal structure of MnCd2Mo.

Theoretical density: 8.05 g/cm³
Total DFT energy (no corrections): -18.30 eV/f.u.
Distance to the lowest polymorph of the same formula: 0.638 eV per atom
Formation enthalpy at 0 K: 883 meV/atom
Total magnetic moment: 11.58 Bohr magnetons per cell

Unit cell a=7.542 b=7.542 c=5.452 alpha=90.00 beta=90.00 gamma=90.00
Space group I-42d (No. 122)
One atom of each set of equivalent atoms:
Mn  0.000  0.000  0.000
Cd  0.239  0.250  0.125
Mo  0.000  0.000  0.500

VASP calculation (PBE-GGA) on an optimized crystal structure of MnCdMo.

Theoretical density: 9.11 g/cm³
Total DFT energy (no corrections): -19.99 eV/f.u.
Distance to the lowest polymorph of the same formula: 0.000 eV per atom
Formation enthalpy at 0 K: 308 meV/atom
Total magnetic moment: 0.00 Bohr magnetons per cell

Unit cell a=2.903 b=17.231 c=3.839 alpha=90.00 beta=90.00 gamma=90.00
Space group Cmcm (No. 63)
One atom of each set of equivalent atoms:
Mn  0.000  0.039  0.250
Cd  0.000  0.199  0.250
Mo  0.000  0.412  0.250

VASP calculation (PBE-GGA) on an optimized crystal structure of MnCd2Mo.

Theoretical density: 8.83 g/cm³
Total DFT energy (no corrections): -20.24 eV/f.u.
Distance to the lowest polymorph of the same formula: 0.153 eV per atom
Formation enthalpy at 0 K: 397 meV/atom
Total magnetic moment: 3.82 Bohr magnetons per cell

Unit cell a=2.837 b=2.837 c=8.775 alpha=90.00 beta=90.00 gamma=90.00
Space group P4/mmm (No. 123)
One atom of each set of equivalent atoms:
Mn  0.000  0.000  0.000
Cd  0.500  0.500  0.244
Mo  0.000  0.000  0.500

VASP calculation (PBE-GGA) on an optimized crystal structure of MnCdMo.

Theoretical density: 9.13 g/cm³
Total DFT energy (no corrections): -19.87 eV/f.u.
Distance to the lowest polymorph of the same formula: 0.040 eV per atom
Formation enthalpy at 0 K: 348 meV/atom
Total magnetic moment: 1.88 Bohr magnetons per cell

Unit cell a=2.757 b=4.837 c=7.405 alpha=79.43 beta=84.14 gamma=81.91
Space group P-1 (No. 2)
One atom of each set of equivalent atoms:
Mn  0.167  0.163  0.394
Cd  0.261  0.767  0.935
Mo  0.331  0.337  0.661

VASP calculation (PBE-GGA) on an optimized crystal structure of MnCd2Mo.

Theoretical density: 8.80 g/cm³
Total DFT energy (no corrections): -19.89 eV/f.u.
Distance to the lowest polymorph of the same formula: 0.240 eV per atom
Formation enthalpy at 0 K: 484 meV/atom
Total magnetic moment: 5.85 Bohr magnetons per cell

Unit cell a=9.967 b=2.822 c=5.116 alpha=90.00 beta=99.98 gamma=90.00
Space group C2/m (No. 12)
One atom of each set of equivalent atoms:
Mn  0.000  0.000  0.000
Cd  0.247  0.500  0.248
Mo  0.000  0.500  0.500

VASP calculation (PBE-GGA) on an optimized crystal structure of MnCdMo.

Theoretical density: 9.13 g/cm³
Total DFT energy (no corrections): -19.91 eV/f.u.
Distance to the lowest polymorph of the same formula: 0.028 eV per atom
Formation enthalpy at 0 K: 336 meV/atom
Total magnetic moment: 0.81 Bohr magnetons per cell

Unit cell a=3.021 b=3.021 c=10.493 alpha=90.00 beta=90.00 gamma=90.00
Space group I4mm (No. 107)
One atom of each set of equivalent atoms:
Mn  0.000  0.000  0.000
Cd  0.000  0.000  0.681
Mo  0.000  0.000  0.385

VASP calculation (PBE-GGA) on an optimized crystal structure of MnCd2Mo.

Theoretical density: 8.81 g/cm³
Total DFT energy (no corrections): -20.71 eV/f.u.
Distance to the lowest polymorph of the same formula: 0.035 eV per atom
Formation enthalpy at 0 K: 279 meV/atom
Total magnetic moment: 5.15 Bohr magnetons per cell

Unit cell a=3.337 b=4.568 c=9.288 alpha=90.00 beta=90.00 gamma=90.00
Space group Cmm2 (No. 35)
One atom of each set of equivalent atoms:
Mn  0.000  0.000  0.000
Cd  0.000  0.000  0.463
Cd  0.000  0.500  0.754
Mo  0.000  0.500  0.202